## NaVO (GGA+U)

Data for crystalline NaVO at its relaxed geometry.

Output
* energy relative to the lowest polymorph listed for this composition: 0.27 eV per formula unit
* space group: No. 2
* DFT total energy: -5.419 eV per atom

a = 3.067 Å, b = 3.067 Å, c = 11.443 Å
α = 83.37°, β = 83.26°, γ = 60.19°
Element x y z (fractional)
Na: 0.221 0.226 0.358
Na: 0.779 0.774 0.642
V: 0.295 0.297 0.111
V: 0.705 0.703 0.889
O: 0.067 0.064 0.794
O: 0.933 0.936 0.206